Record 1
Entry from the Alexandria database: an optimized crystal structure of KCu5Cl12 (GGA-PBE).

Geometry as POSCAR:
```
KCu5Cl12
1.0
7.104 1.482 1.390
4.974 6.761 1.339
3.654 1.998 13.403
Cl Cu K
12 5 1
direct
0.302 0.028 0.110
0.536 0.631 0.389
0.464 0.369 0.611
0.033 0.541 0.109
0.486 0.465 0.879
0.129 0.039 0.613
0.796 0.705 0.612
0.871 0.961 0.387
0.514 0.535 0.121
0.204 0.296 0.388
0.698 0.972 0.890
0.967 0.459 0.891
0.660 0.713 0.012
0.339 0.287 0.988
0.167 0.666 0.500
0.500 0.000 0.500
0.833 0.334 0.500
0.000 0.000 0.000
```

Computed properties:
The space group is No. 2.

Record 2
Entry from the Alexandria database: an optimized crystal structure of KCu2Cl (GGA-PBE).

Geometry as POSCAR:
```
KCu2Cl
1.0
3.960 -3.072 0.606
-0.649 -5.006 -0.104
1.730 -2.689 -3.907
Cu K Cl
2 1 1
direct
0.250 0.250 0.250
0.750 0.750 0.750
0.500 0.500 0.500
0.000 0.000 0.000
```

Computed properties:
Its polymorph energy (0 for the lowest one) is 18.23 kcal/mol of atoms. The space group is No. 225.

Record 3
Entry from the Alexandria database: an optimized crystal structure of KCu4Cl8 (GGA-PBE).

Geometry as POSCAR:
```
KCu4Cl8
1.0
-1.019 1.727 6.887
-6.044 -1.954 3.331
0.905 -6.563 5.515
Cl Cu K
8 4 1
direct
0.723 0.723 0.830
0.730 0.226 0.819
0.774 0.774 0.181
0.226 0.226 0.819
0.277 0.277 0.170
0.774 0.270 0.181
0.270 0.774 0.181
0.226 0.730 0.819
0.000 0.500 0.000
0.000 0.000 0.000
0.500 0.000 0.000
0.500 0.500 0.000
0.500 0.500 0.500
```

Computed properties:
The space group is No. 166.

Record 4
Entry from the Alexandria database: an optimized crystal structure of KCuCl4 (GGA-PBE).

Geometry as POSCAR:
```
KCuCl4
1.0
0.000 4.302 4.302
4.302 0.000 4.302
4.302 4.302 0.000
Cl K Cu
4 1 1
direct
0.375 0.874 0.375
0.874 0.375 0.375
0.375 0.375 0.874
0.375 0.375 0.375
0.000 0.000 0.000
0.750 0.750 0.750
```

Computed properties:
The space group is No. 216.

Record 5
Entry from the Alexandria database: an optimized crystal structure of KCu2Cl (GGA-PBE).

Geometry as POSCAR:
```
KCu2Cl
1.0
-3.873 0.259 2.555
-2.356 -2.198 -3.349
-0.875 -9.932 3.909
Cu Cl K
4 2 2
direct
0.375 0.625 0.250
0.375 0.625 0.750
0.375 0.125 0.250
0.875 0.625 0.750
0.250 0.750 0.500
0.500 0.500 0.000
0.750 0.250 0.500
0.000 0.000 0.000
```

Computed properties:
Its polymorph energy (0 for the lowest one) is 6.18 kcal/mol of atoms. The space group is No. 141.

Record 6
Entry from the Alexandria database: an optimized crystal structure of KCu2Cl4 (GGA-PBE).

Geometry as POSCAR:
```
KCu2Cl4
1.0
-4.978 0.584 4.703
-3.042 -2.560 -5.608
5.602 -6.875 3.143
Cl Cu K
8 4 2
direct
0.844 0.684 0.215
0.876 0.216 0.281
0.318 0.155 0.785
0.942 0.602 0.719
0.473 0.633 0.782
0.366 0.527 0.217
0.398 0.059 0.282
0.785 0.123 0.718
0.621 0.871 0.248
0.630 0.378 0.752
0.130 0.379 0.752
0.621 0.371 0.248
0.999 0.000 0.000
0.247 0.752 0.500
```

Computed properties:
The space group is No. 1.

Record 7
Entry from the Alexandria database: an optimized crystal structure of K3CuCl (GGA-PBE).

Geometry as POSCAR:
```
K3CuCl
1.0
6.018 0.000 0.000
0.000 6.018 0.000
0.000 0.000 6.018
K Cl Cu
3 1 1
direct
0.500 0.000 0.000
0.000 0.500 0.000
0.000 0.000 0.500
0.000 0.000 0.000
0.500 0.500 0.500
```

Computed properties:
Its polymorph energy (0 for the lowest one) is 0.00 kcal/mol of atoms. The space group is No. 221.

Record 8
Entry from the Alexandria database: an optimized crystal structure of K2CuCl (GGA-PBE).

Geometry as POSCAR:
```
K2CuCl
1.0
-2.351 -3.300 -2.110
1.082 -1.224 -4.266
4.594 -6.868 0.704
K Cl Cu
2 1 1
direct
0.493 0.493 0.519
0.007 0.007 0.981
0.750 0.750 0.750
0.250 0.250 0.250
```

Computed properties:
Its polymorph energy (0 for the lowest one) is 0.00 kcal/mol of atoms. The space group is No. 12.

Number 1: formation energy without anion corrections -0.60 eV per atom. Number 2: formation energy without anion corrections 0.51 eV per atom. Number 3: formation energy without anion corrections -0.67 eV per atom. Number 4: formation energy without anion corrections 0.06 eV per atom. Number 5: formation energy without anion corrections -0.01 eV per atom. Number 6: formation energy without anion corrections -0.90 eV per atom. Number 7: formation energy without anion corrections -0.45 eV per atom. Number 8: formation energy without anion corrections -0.70 eV per atom.